{
  "formula": "NaLaAu2O",
  "functional": "PBE-GGA",
  "state": "optimized geometry",
  "cell": [[4.642, 0.000, 0.000], [0.000, 6.208, 0.000], [0.000, 0.000, 4.642]],
  "species": ["Na", "Au", "Au", "O", "La"],
  "fractional_positions": [[0.000, 0.000, 0.000], [0.000, 0.000, 0.500], [0.500, 0.000, 0.000], [0.500, 0.500, 0.500], [0.000, 0.500, 0.000]],
  "spacegroup": "P4/mmm",
  "formation_energy_uncorrected_ev_per_atom": 0.444
}